Model i:
Here is a relaxed BeZn2Pb crystal from Alexandria via LeMat-Bulk. Energies are from GGA-PBEsol.

```
data_BeZn2Pb
_cell_length_a 4.660
_cell_length_b 4.660
_cell_length_c 4.660
_cell_angle_alpha 60.00
_cell_angle_beta 60.00
_cell_angle_gamma 60.00
_symmetry_space_group_name_H-M 'P 1'
_symmetry_Int_Tables_number 1
loop_
_symmetry_equiv_pos_as_xyz
'x,y,z'
loop_
_atom_site_label
_atom_site_type_symbol
_atom_site_fract_x
_atom_site_fract_y
_atom_site_fract_z
Pb1 Pb 0.500 0.500 0.500
Be1 Be 0.000 0.000 0.000
Zn1 Zn 0.250 0.250 0.250
Zn2 Zn 0.750 0.750 0.750
```

---

Model ii:
Here is a relaxed BeZn2Pb crystal from Alexandria via LeMat-Bulk. Energies are from GGA-PBEsol.

```
data_BeZn2Pb
_cell_length_a 3.065
_cell_length_b 3.315
_cell_length_c 6.801
_cell_angle_alpha 90.00
_cell_angle_beta 90.00
_cell_angle_gamma 90.00
_symmetry_space_group_name_H-M 'P 1'
_symmetry_Int_Tables_number 1
loop_
_symmetry_equiv_pos_as_xyz
'x,y,z'
loop_
_atom_site_label
_atom_site_type_symbol
_atom_site_fract_x
_atom_site_fract_y
_atom_site_fract_z
Pb1 Pb 0.500 0.500 0.733
Be1 Be 0.000 0.000 0.424
Zn1 Zn 0.000 0.000 0.064
Zn2 Zn 0.500 0.500 0.279
```

---

Model iii:
Here is a relaxed BeZn2Pb crystal from Alexandria via LeMat-Bulk. Energies are from GGA-PBEsol.

```
data_BeZn2Pb
_cell_length_a 3.683
_cell_length_b 4.121
_cell_length_c 4.845
_cell_angle_alpha 90.00
_cell_angle_beta 90.06
_cell_angle_gamma 90.00
_symmetry_space_group_name_H-M 'P 1'
_symmetry_Int_Tables_number 1
loop_
_symmetry_equiv_pos_as_xyz
'x,y,z'
loop_
_atom_site_label
_atom_site_type_symbol
_atom_site_fract_x
_atom_site_fract_y
_atom_site_fract_z
Pb1 Pb 0.000 0.500 0.500
Be1 Be 0.500 0.500 0.000
Zn1 Zn 0.501 0.000 0.754
Zn2 Zn 0.499 0.000 0.246
```

---

It is model iii that is the most stable of them.

---

Model i:
Here is a relaxed BeRePd3 crystal from Alexandria via LeMat-Bulk. Energies are from GGA-PBEsol.

```
data_BeRePd3
_cell_length_a 4.711
_cell_length_b 4.711
_cell_length_c 4.711
_cell_angle_alpha 90.00
_cell_angle_beta 90.00
_cell_angle_gamma 90.00
_symmetry_space_group_name_H-M 'P 1'
_symmetry_Int_Tables_number 1
loop_
_symmetry_equiv_pos_as_xyz
'x,y,z'
loop_
_atom_site_label
_atom_site_type_symbol
_atom_site_fract_x
_atom_site_fract_y
_atom_site_fract_z
Re1 Re 0.000 0.000 0.000
Pd1 Pd 0.000 0.500 0.000
Pd2 Pd 0.000 0.000 0.500
Pd3 Pd 0.500 0.000 0.000
Be1 Be 0.500 0.500 0.500
```

---

Model ii:
Here is a relaxed BeRePd3 crystal from Alexandria via LeMat-Bulk. Energies are from GGA-PBEsol.

```
data_BeRePd3
_cell_length_a 4.128
_cell_length_b 4.128
_cell_length_c 4.128
_cell_angle_alpha 90.00
_cell_angle_beta 90.00
_cell_angle_gamma 90.00
_symmetry_space_group_name_H-M 'P 1'
_symmetry_Int_Tables_number 1
loop_
_symmetry_equiv_pos_as_xyz
'x,y,z'
loop_
_atom_site_label
_atom_site_type_symbol
_atom_site_fract_x
_atom_site_fract_y
_atom_site_fract_z
Re1 Re 0.500 0.500 0.500
Pd1 Pd 0.000 0.500 0.000
Pd2 Pd 0.000 0.000 0.500
Pd3 Pd 0.500 0.000 0.000
Be1 Be 0.000 0.000 0.000
```

---

It is model ii that is the most stable of them.

---

Model i:
Here is a relaxed ScBePd3 crystal from Alexandria via LeMat-Bulk. Energies are from GGA-PBEsol.

```
data_ScBePd3
_cell_length_a 4.627
_cell_length_b 4.627
_cell_length_c 4.627
_cell_angle_alpha 90.00
_cell_angle_beta 90.00
_cell_angle_gamma 90.00
_symmetry_space_group_name_H-M 'P 1'
_symmetry_Int_Tables_number 1
loop_
_symmetry_equiv_pos_as_xyz
'x,y,z'
loop_
_atom_site_label
_atom_site_type_symbol
_atom_site_fract_x
_atom_site_fract_y
_atom_site_fract_z
Sc1 Sc 0.000 0.000 0.000
Be1 Be 0.500 0.500 0.500
Pd1 Pd 0.000 0.500 0.000
Pd2 Pd 0.000 0.000 0.500
Pd3 Pd 0.500 0.000 0.000
```

---

Model ii:
Here is a relaxed ScBePd3 crystal from Alexandria via LeMat-Bulk. Energies are from GGA-PBEsol.

```
data_ScBePd3
_cell_length_a 4.209
_cell_length_b 4.209
_cell_length_c 4.209
_cell_angle_alpha 90.00
_cell_angle_beta 90.00
_cell_angle_gamma 90.00
_symmetry_space_group_name_H-M 'P 1'
_symmetry_Int_Tables_number 1
loop_
_symmetry_equiv_pos_as_xyz
'x,y,z'
loop_
_atom_site_label
_atom_site_type_symbol
_atom_site_fract_x
_atom_site_fract_y
_atom_site_fract_z
Sc1 Sc 0.500 0.500 0.500
Be1 Be 0.000 0.000 0.000
Pd1 Pd 0.000 0.500 0.000
Pd2 Pd 0.000 0.000 0.500
Pd3 Pd 0.500 0.000 0.000
```

---

It is model ii that is the most stable of them.

---

Model i:
Here is a relaxed YBePd3 crystal from Alexandria via LeMat-Bulk. Energies are from GGA-PBEsol.

```
data_YBePd3
_cell_length_a 4.299
_cell_length_b 4.299
_cell_length_c 4.299
_cell_angle_alpha 90.00
_cell_angle_beta 90.00
_cell_angle_gamma 90.00
_symmetry_space_group_name_H-M 'P 1'
_symmetry_Int_Tables_number 1
loop_
_symmetry_equiv_pos_as_xyz
'x,y,z'
loop_
_atom_site_label
_atom_site_type_symbol
_atom_site_fract_x
_atom_site_fract_y
_atom_site_fract_z
Y1 Y 0.500 0.500 0.500
Be1 Be 0.000 0.000 0.000
Pd1 Pd 0.000 0.500 0.000
Pd2 Pd 0.000 0.000 0.500
Pd3 Pd 0.500 0.000 0.000
```

---

Model ii:
Here is a relaxed YBePd3 crystal from Alexandria via LeMat-Bulk. Energies are from GGA-PBEsol.

```
data_YBePd3
_cell_length_a 4.873
_cell_length_b 4.873
_cell_length_c 4.873
_cell_angle_alpha 90.00
_cell_angle_beta 90.00
_cell_angle_gamma 90.00
_symmetry_space_group_name_H-M 'P 1'
_symmetry_Int_Tables_number 1
loop_
_symmetry_equiv_pos_as_xyz
'x,y,z'
loop_
_atom_site_label
_atom_site_type_symbol
_atom_site_fract_x
_atom_site_fract_y
_atom_site_fract_z
Y1 Y 0.000 0.000 0.000
Be1 Be 0.500 0.500 0.500
Pd1 Pd 0.000 0.500 0.000
Pd2 Pd 0.000 0.000 0.500
Pd3 Pd 0.500 0.000 0.000
```

---

It is model i that is the most stable of them.

---

Model i:
Here is a relaxed Be2ZnPd2 crystal from Alexandria via LeMat-Bulk. Energies are from GGA-PBEsol.

```
data_Be2ZnPd2
_cell_length_a 2.753
_cell_length_b 6.484
_cell_length_c 6.484
_cell_angle_alpha 90.00
_cell_angle_beta 90.00
_cell_angle_gamma 90.00
_symmetry_space_group_name_H-M 'P 1'
_symmetry_Int_Tables_number 1
loop_
_symmetry_equiv_pos_as_xyz
'x,y,z'
loop_
_atom_site_label
_atom_site_type_symbol
_atom_site_fract_x
_atom_site_fract_y
_atom_site_fract_z
Be1 Be 0.000 0.375 0.875
Be2 Be 0.000 0.875 0.625
Be3 Be 0.000 0.625 0.125
Be4 Be 0.000 0.125 0.375
Zn1 Zn 0.000 0.000 0.000
Zn2 Zn 0.000 0.500 0.500
Pd1 Pd 0.500 0.168 0.668
Pd2 Pd 0.500 0.668 0.832
Pd3 Pd 0.500 0.832 0.332
Pd4 Pd 0.500 0.332 0.168
```

---

Model ii:
Here is a relaxed Be2ZnPd2 crystal from Alexandria via LeMat-Bulk. Energies are from GGA-PBEsol.

```
data_Be2ZnPd2
_cell_length_a 3.054
_cell_length_b 3.054
_cell_length_c 6.850
_cell_angle_alpha 102.88
_cell_angle_beta 102.88
_cell_angle_gamma 90.00
_symmetry_space_group_name_H-M 'P 1'
_symmetry_Int_Tables_number 1
loop_
_symmetry_equiv_pos_as_xyz
'x,y,z'
loop_
_atom_site_label
_atom_site_type_symbol
_atom_site_fract_x
_atom_site_fract_y
_atom_site_fract_z
Be1 Be 0.250 0.750 0.500
Be2 Be 0.750 0.250 0.500
Zn1 Zn 0.000 0.000 0.000
Pd1 Pd 0.387 0.387 0.773
Pd2 Pd 0.613 0.613 0.227
```

---

It is model i that is the most stable of them.

---

Model i:
Here is a relaxed ScBePt2 crystal from Alexandria via LeMat-Bulk. Energies are from GGA-PBEsol.

```
data_ScBePt2
_cell_length_a 2.850
_cell_length_b 2.850
_cell_length_c 6.841
_cell_angle_alpha 90.00
_cell_angle_beta 90.00
_cell_angle_gamma 90.00
_symmetry_space_group_name_H-M 'P 1'
_symmetry_Int_Tables_number 1
loop_
_symmetry_equiv_pos_as_xyz
'x,y,z'
loop_
_atom_site_label
_atom_site_type_symbol
_atom_site_fract_x
_atom_site_fract_y
_atom_site_fract_z
Sc1 Sc 0.500 0.500 0.000
Be1 Be 0.500 0.500 0.500
Pt1 Pt 0.000 0.000 0.708
Pt2 Pt 0.000 0.000 0.292
```

---

Model ii:
Here is a relaxed ScBePt2 crystal from Alexandria via LeMat-Bulk. Energies are from GGA-PBEsol.

```
data_ScBePt2
_cell_length_a 4.346
_cell_length_b 4.346
_cell_length_c 4.346
_cell_angle_alpha 60.00
_cell_angle_beta 60.00
_cell_angle_gamma 60.00
_symmetry_space_group_name_H-M 'P 1'
_symmetry_Int_Tables_number 1
loop_
_symmetry_equiv_pos_as_xyz
'x,y,z'
loop_
_atom_site_label
_atom_site_type_symbol
_atom_site_fract_x
_atom_site_fract_y
_atom_site_fract_z
Sc1 Sc 0.500 0.500 0.500
Be1 Be 0.000 0.000 0.000
Pt1 Pt 0.750 0.750 0.750
Pt2 Pt 0.250 0.250 0.250
```

---

It is model i that is the most stable of them.